1.
{"formula": "La2Dy2Y3", "functional": "PBE-GGA", "state": "optimized geometry", "lattice": [[5.596, 0.000, 0.000], [0.000, 3.547, 0.000], [-2.798, -1.773, 11.792]], "species": ["La", "La", "Y", "Y", "Y", "Dy", "Dy"], "fractional_positions": [[0.429, 0.429, 0.859], [0.571, 0.571, 0.141], [0.289, 0.789, 0.579], [0.711, 0.211, 0.421], [0.000, 0.000, 0.000], [0.145, 0.645, 0.289], [0.855, 0.355, 0.711]], "space_group": "Immm, No. 71"}

2.
{"formula": "La7DyY2", "functional": "PBE-GGA", "state": "optimized geometry", "lattice": [[-2.965, 1.482, 1.104], [0.534, -6.532, 10.201], [4.231, 7.925, 0.722]], "species": ["La", "La", "La", "La", "La", "La", "La", "Y", "Y", "Dy"], "fractional_positions": [[0.500, 0.692, 0.915], [0.000, 0.386, 0.778], [0.000, 0.614, 0.222], [0.500, 0.500, 0.500], [0.500, 0.195, 0.381], [0.500, 0.805, 0.619], [0.500, 0.308, 0.085], [0.500, 0.900, 0.298], [0.500, 0.100, 0.702], [0.000, 0.000, 0.000]], "space_group": "P2/m, No. 10"}

3.
{"formula": "La8Dy5Y", "functional": "PBE-GGA", "state": "optimized geometry", "lattice": [[-8.532, 0.420, 1.634], [2.612, -5.971, -5.705], [2.862, -1.552, 8.182]], "species": ["La", "La", "La", "La", "La", "La", "La", "La", "Y", "Dy", "Dy", "Dy", "Dy", "Dy"], "fractional_positions": [[0.650, 0.215, 0.279], [0.704, 0.468, 0.941], [0.081, 0.750, 0.426], [0.221, 0.752, 0.108], [0.374, 0.277, 0.483], [0.517, 0.771, 0.864], [0.111, 0.206, 0.738], [0.480, 0.544, 0.237], [0.020, 0.485, 0.645], [0.955, 0.253, 0.063], [0.618, 0.019, 0.593], [0.881, 0.980, 0.278], [0.826, 0.754, 0.702], [0.312, 0.028, 0.892]], "space_group": "P1, No. 1"}

4.
{"formula": "La2Dy3Y8", "functional": "PBE-GGA", "state": "optimized geometry", "lattice": [[-2.481, 1.165, 4.859], [-6.858, -0.618, -3.354], [3.211, -9.961, 4.029]], "species": ["Dy", "Dy", "Dy", "Y", "Y", "Y", "Y", "Y", "Y", "Y", "Y", "La", "La"], "fractional_positions": [[0.500, 0.000, 0.000], [0.000, 0.287, 0.000], [0.000, 0.713, 0.000], [0.500, 0.392, 0.209], [0.500, 0.182, 0.791], [0.500, 0.608, 0.791], [0.000, 0.874, 0.747], [0.000, 0.339, 0.679], [0.000, 0.661, 0.321], [0.500, 0.818, 0.209], [0.000, 0.126, 0.253], [0.500, 0.241, 0.481], [0.500, 0.759, 0.519]], "space_group": "Cmmm, No. 65"}

5.
{"formula": "LaDy2Y6", "functional": "PBE-GGA", "state": "optimized geometry", "lattice": [[3.717, 0.000, 0.000], [1.858, 6.342, 0.515], [1.858, 1.471, 12.782]], "species": ["La", "Dy", "Dy", "Y", "Y", "Y", "Y", "Y", "Y"], "fractional_positions": [[0.000, 0.000, 0.000], [0.672, 0.912, 0.745], [0.328, 0.088, 0.255], [0.696, 0.500, 0.108], [0.645, 0.231, 0.478], [0.965, 0.382, 0.688], [0.304, 0.500, 0.892], [0.035, 0.618, 0.312], [0.355, 0.769, 0.522]], "space_group": "C2/m, No. 12"}

6.
{"formula": "La4DyY2", "functional": "PBE-GGA", "state": "optimized geometry", "lattice": [[-10.737, 4.856, -4.960], [6.303, -9.660, 5.516], [0.630, 4.493, 5.200]], "species": ["Y", "Y", "Y", "Y", "La", "La", "La", "La", "La", "La", "La", "La", "Dy", "Dy"], "fractional_positions": [[0.311, 0.627, 0.955], [0.627, 0.311, 0.455], [0.922, 0.106, 0.045], [0.106, 0.922, 0.545], [0.599, 0.562, 0.640], [0.796, 0.189, 0.406], [0.141, 0.035, 0.094], [0.174, 0.710, 0.362], [0.189, 0.796, 0.906], [0.710, 0.174, 0.862], [0.035, 0.141, 0.594], [0.562, 0.599, 0.140], [0.669, 0.419, 0.000], [0.419, 0.669, 0.500]], "space_group": "Cc, No. 9"}

7.
{"formula": "LaDy2Y4", "functional": "PBE-GGA", "state": "optimized geometry", "lattice": [[-0.330, -0.505, -3.510], [2.011, -2.436, -1.646], [-14.310, -15.624, 1.786]], "species": ["Y", "Y", "Y", "Y", "Dy", "Dy", "La"], "fractional_positions": [[0.856, 0.856, 0.431], [0.287, 0.287, 0.139], [0.713, 0.713, 0.861], [0.144, 0.144, 0.569], [0.766, 0.766, 0.701], [0.234, 0.234, 0.299], [0.000, 0.000, 0.000]], "space_group": "R-3m, No. 166"}

8.
{"formula": "La2DyY", "functional": "PBE-GGA", "state": "optimized geometry", "lattice": [[5.019, 0.000, 0.000], [0.000, 5.233, 0.000], [0.000, 0.000, 5.233]], "species": ["La", "La", "Y", "Dy"], "fractional_positions": [[0.000, 0.500, 0.000], [0.000, 0.000, 0.500], [0.500, 0.000, 0.000], [0.500, 0.500, 0.500]], "space_group": "P4/mmm, No. 123"}

9.
{"formula": "La3DyY12", "functional": "PBE-GGA", "state": "optimized geometry", "lattice": [[5.099, 0.000, 0.000], [0.000, 5.099, 0.000], [0.000, 0.000, 20.416]], "species": ["Y", "Y", "Y", "Y", "Y", "Y", "Y", "Y", "Y", "Y", "Y", "Y", "Dy", "La", "La", "La"], "fractional_positions": [[0.500, 0.500, 0.248], [0.000, 0.500, 0.374], [0.500, 0.000, 0.122], [0.500, 0.000, 0.878], [0.500, 0.500, 0.500], [0.500, 0.000, 0.374], [0.000, 0.500, 0.122], [0.500, 0.000, 0.626], [0.500, 0.500, 0.000], [0.500, 0.500, 0.752], [0.000, 0.500, 0.878], [0.000, 0.500, 0.626], [0.000, 0.000, 0.000], [0.000, 0.000, 0.500], [0.000, 0.000, 0.249], [0.000, 0.000, 0.751]], "space_group": "P4/mmm, No. 123"}

10.
{"formula": "La4Dy4Y3", "functional": "PBE-GGA", "state": "optimized geometry", "lattice": [[3.592, 0.000, -0.662], [-0.859, 8.284, -4.663], [0.359, 1.310, 12.030]], "species": ["Y", "Y", "Y", "Dy", "Dy", "Dy", "Dy", "La", "La", "La", "La"], "fractional_positions": [[0.000, 0.500, 0.000], [0.896, 0.896, 0.791], [0.104, 0.104, 0.209], [0.500, 0.185, 0.000], [0.265, 0.765, 0.530], [0.500, 0.815, 0.000], [0.735, 0.235, 0.470], [0.354, 0.185, 0.709], [0.646, 0.476, 0.291], [0.354, 0.524, 0.709], [0.646, 0.815, 0.291]], "space_group": "Immm, No. 71"}

11.
{"formula": "La2Dy4Y3", "functional": "PBE-GGA", "state": "optimized geometry", "lattice": [[-0.067, 2.705, 5.413], [8.706, -4.237, 3.397], [7.941, 6.231, -1.843]], "species": ["La", "La", "La", "La", "Dy", "Dy", "Dy", "Dy", "Dy", "Dy", "Dy", "Dy", "Y", "Y", "Y", "Y", "Y", "Y"], "fractional_positions": [[0.722, 0.490, 0.723], [0.278, 0.510, 0.277], [0.222, 0.723, 0.490], [0.778, 0.277, 0.510], [0.543, 0.046, 0.833], [0.633, 0.844, 0.623], [0.043, 0.833, 0.046], [0.457, 0.954, 0.167], [0.957, 0.167, 0.954], [0.367, 0.156, 0.377], [0.133, 0.623, 0.844], [0.867, 0.377, 0.156], [0.911, 0.015, 0.312], [0.750, 0.650, 0.350], [0.250, 0.350, 0.650], [0.089, 0.985, 0.688], [0.589, 0.688, 0.985], [0.411, 0.312, 0.015]], "space_group": "C2/c, No. 15"}

12.
{"formula": "La4DyY4", "functional": "PBE-GGA", "state": "optimized geometry", "lattice": [[5.196, 0.000, 0.000], [2.598, 7.719, 0.000], [2.598, 0.000, 7.719]], "species": ["La", "La", "La", "La", "Y", "Y", "Y", "Y", "Dy"], "fractional_positions": [[0.000, 0.333, 0.667], [0.333, 0.667, 0.667], [0.000, 0.667, 0.333], [0.667, 0.333, 0.333], [0.336, 0.000, 0.328], [0.664, 0.000, 0.672], [0.664, 0.672, 0.000], [0.336, 0.328, 0.000], [0.000, 0.000, 0.000]], "space_group": "I4/mmm, No. 139"}

13.
{"formula": "La3Dy7Y", "functional": "PBE-GGA", "state": "optimized geometry", "lattice": [[5.882, -0.216, -0.276], [-2.601, 8.016, 1.112], [-2.601, -0.865, 8.047]], "species": ["Dy", "Dy", "Dy", "Dy", "Dy", "Dy", "Dy", "La", "La", "La", "Y"], "fractional_positions": [[0.706, 0.008, 0.404], [0.294, 0.596, 0.992], [0.000, 0.500, 0.500], [0.294, 0.992, 0.596], [0.794, 0.793, 0.793], [0.206, 0.207, 0.207], [0.706, 0.404, 0.008], [0.000, 0.785, 0.215], [0.500, 0.000, 0.000], [0.000, 0.215, 0.785], [0.500, 0.500, 0.500]], "space_group": "Immm, No. 71"}

14.
{"formula": "LaDy8Y2", "functional": "PBE-GGA", "state": "optimized geometry", "lattice": [[5.477, -0.655, -0.458], [0.884, 9.868, 2.656], [0.884, 5.890, 8.351]], "species": ["Dy", "Dy", "Dy", "Dy", "Dy", "Dy", "Dy", "Dy", "Y", "Y", "La"], "fractional_positions": [[0.269, 0.599, 0.133], [0.731, 0.401, 0.867], [0.233, 0.188, 0.188], [0.767, 0.812, 0.812], [0.731, 0.867, 0.401], [0.238, 0.547, 0.547], [0.269, 0.133, 0.599], [0.762, 0.453, 0.453], [0.250, 0.716, 0.716], [0.750, 0.284, 0.284], [0.000, 0.000, 0.000]], "space_group": "C2/m, No. 12"}

15.
{"formula": "La5DyY3", "functional": "PBE-GGA", "state": "optimized geometry", "lattice": [[0.881, -11.745, -1.749], [6.802, -9.284, -3.054], [4.843, -8.062, 6.771]], "species": ["La", "La", "La", "La", "La", "La", "La", "La", "La", "La", "Dy", "Dy", "Y", "Y", "Y", "Y", "Y", "Y"], "fractional_positions": [[0.357, 0.988, 0.517], [0.538, 0.128, 0.124], [0.012, 0.643, 0.983], [0.643, 0.012, 0.483], [0.462, 0.872, 0.876], [0.988, 0.357, 0.017], [0.407, 0.593, 0.750], [0.593, 0.407, 0.250], [0.128, 0.538, 0.624], [0.872, 0.462, 0.376], [0.125, 0.875, 0.250], [0.875, 0.125, 0.750], [0.445, 0.874, 0.196], [0.555, 0.126, 0.804], [0.000, 0.000, 0.500], [0.126, 0.555, 0.304], [0.000, 0.000, 0.000], [0.874, 0.445, 0.696]], "space_group": "C2/c, No. 15"}

16.
{"formula": "LaDy4Y6", "functional": "PBE-GGA", "state": "optimized geometry", "lattice": [[5.744, 0.000, 0.000], [-2.872, 4.859, 0.000], [0.000, 0.000, 25.841]], "species": ["Dy", "Dy", "Dy", "Dy", "Dy", "Dy", "Dy", "Dy", "Y", "Y", "Y", "Y", "Y", "Y", "Y", "Y", "Y", "Y", "Y", "Y", "La", "La"], "fractional_positions": [[0.478, 0.955, 0.379], [0.160, 0.320, 0.458], [0.160, 0.320, 0.042], [0.478, 0.955, 0.121], [0.840, 0.680, 0.542], [0.522, 0.045, 0.879], [0.522, 0.045, 0.621], [0.840, 0.680, 0.958], [0.500, 0.000, 0.500], [0.148, 0.297, 0.320], [0.516, 0.032, 0.750], [0.852, 0.703, 0.820], [0.500, 0.000, 0.000], [0.184, 0.368, 0.900], [0.484, 0.968, 0.250], [0.816, 0.632, 0.100], [0.148, 0.297, 0.180], [0.816, 0.632, 0.400], [0.852, 0.703, 0.680], [0.184, 0.368, 0.600], [0.819, 0.637, 0.250], [0.181, 0.363, 0.750]], "space_group": "Cmcm, No. 63"}

17.
{"formula": "La4Dy4Y", "functional": "PBE-GGA", "state": "optimized geometry", "lattice": [[5.167, 0.000, 0.000], [2.583, 7.690, 0.000], [2.583, 0.000, 7.690]], "species": ["La", "La", "La", "La", "Dy", "Dy", "Dy", "Dy", "Y"], "fractional_positions": [[0.668, 0.663, 0.000], [0.332, 0.000, 0.337], [0.332, 0.337, 0.000], [0.668, 0.000, 0.663], [0.336, 0.664, 0.664], [0.000, 0.664, 0.336], [0.000, 0.336, 0.664], [0.664, 0.336, 0.336], [0.000, 0.000, 0.000]], "space_group": "I4/mmm, No. 139"}

18.
{"formula": "La7Dy4Y", "functional": "PBE-GGA", "state": "optimized geometry", "lattice": [[0.339, 1.877, 7.104], [-4.481, -4.386, 1.368], [3.675, -7.106, 9.320]], "species": ["Dy", "Dy", "Dy", "Dy", "La", "La", "La", "La", "La", "La", "La", "Y"], "fractional_positions": [[0.335, 0.552, 0.665], [0.425, 0.945, 0.332], [0.575, 0.055, 0.668], [0.665, 0.448, 0.335], [0.248, 0.502, 0.998], [0.167, 0.443, 0.333], [0.500, 0.000, 0.000], [0.913, 0.945, 0.336], [0.833, 0.557, 0.667], [0.087, 0.055, 0.664], [0.752, 0.498, 0.002], [0.000, 0.000, 0.000]], "space_group": "P-1, No. 2"}

19.
{"formula": "La2Dy4Y5", "functional": "PBE-GGA", "state": "optimized geometry", "lattice": [[3.413, 0.000, -0.520], [-0.192, 8.741, -1.261], [0.108, 0.421, 12.163]], "species": ["La", "La", "Dy", "Dy", "Dy", "Dy", "Y", "Y", "Y", "Y", "Y"], "fractional_positions": [[0.909, 0.258, 0.818], [0.091, 0.742, 0.182], [0.322, 0.528, 0.643], [0.046, 0.362, 0.093], [0.954, 0.638, 0.907], [0.678, 0.472, 0.357], [0.141, 0.123, 0.282], [0.233, 0.824, 0.466], [0.859, 0.877, 0.718], [0.767, 0.176, 0.534], [0.500, 0.000, 0.000]], "space_group": "C2/m, No. 12"}

20.
{"formula": "La7Dy6Y16", "functional": "PBE-GGA", "state": "optimized geometry", "lattice": [[-10.965, -2.870, 0.899], [-4.066, -8.833, -5.892], [-2.950, -9.562, 5.399]], "species": ["Dy", "Dy", "Dy", "Dy", "Dy", "Dy", "Y", "Y", "Y", "Y", "Y", "Y", "Y", "Y", "Y", "Y", "Y", "Y", "Y", "Y", "Y", "Y", "La", "La", "La", "La", "La", "La", "La"], "fractional_positions": [[0.750, 0.250, 0.750], [0.750, 0.250, 0.250], [0.250, 0.250, 0.750], [0.250, 0.750, 0.250], [0.750, 0.750, 0.250], [0.250, 0.750, 0.750], [0.130, 0.610, 0.130], [0.648, 0.648, 0.648], [0.648, 0.056, 0.648], [0.390, 0.870, 0.870], [0.870, 0.870, 0.390], [0.610, 0.130, 0.130], [0.944, 0.352, 0.352], [0.130, 0.130, 0.610], [0.352, 0.944, 0.352], [0.648, 0.648, 0.056], [0.056, 0.648, 0.648], [0.352, 0.352, 0.352], [0.352, 0.352, 0.944], [0.870, 0.870, 0.870], [0.870, 0.390, 0.870], [0.130, 0.130, 0.130], [0.500, 0.000, 0.000], [0.000, 0.000, 0.000], [0.000, 0.500, 0.500], [0.000, 0.500, 0.000], [0.000, 0.000, 0.500], [0.500, 0.500, 0.000], [0.500, 0.000, 0.500]], "space_group": "Fm-3m, No. 225"}

Values for D(E_F), states/eV per atom, ordered as above
1.925; 1.956; 1.481; 1.888; 1.684; 1.801; 1.979; 1.605; 1.656; 1.628; 1.529; 1.875; 1.345; 1.675; 1.683; 1.852; 1.477; 1.488; 2.104; 1.799
Values for final energy, eV per cell, ordered as above
-37.98; -50.60; -66.68; -72.19; -52.39; -73.52; -39.25; -20.83; -96.46; -56.18; -93.58; -49.91; -50.51; -53.12; -92.92; -121.68; -44.34; -59.21; -58.93; -157.68
Values for total magnetic moment, μB/cell, ordered as above
0.01; 0.00; 0.00; 0.00; 0.05; 0.00; 0.10; 0.00; 0.00; 0.00; 0.00; 0.00; 0.31; 0.00; 0.00; 0.00; 0.00; 0.00; 0.00; 0.00